Sr2FePb | PBE-GGA | optimized geometry

* energy: -0.25685 Ry per atom
* calculated formation energy: 1.556 eV per formula unit

```
data_Sr2FePb
_symmetry_space_group_name_H-M 'C 1 2/m 1'
_symmetry_Int_Tables_number 12
_cell_length_a 10.139
_cell_length_b 3.932
_cell_length_c 7.054
_cell_angle_alpha 90.00
_cell_angle_beta 104.16
_cell_angle_gamma 90.00
loop_
_symmetry_equiv_pos_as_xyz
'x,y,z'
'-x,-y,-z'
'-x,y,-z'
'x,-y,z'
'x+1/2,y+1/2,z'
'-x+1/2,-y+1/2,-z'
'-x+1/2,y+1/2,-z'
'x+1/2,-y+1/2,z'
loop_
_atom_site_label
_atom_site_fract_x
_atom_site_fract_y
_atom_site_fract_z
Sr1 0.240 0.000 0.240
Fe1 0.000 0.500 0.000
Pb1 0.000 0.000 0.500
```